Entry from Alexandria: an optimized crystal structure of Na2Sn2B (GGA-PBE).

CIF file:
```
data_Na2Sn2B
_chemical_formula_sum 'Na4 Sn4 B2'
_cell_length_a 6.7864
_cell_length_b 6.7864
_cell_length_c 5.0539
_cell_angle_alpha 90.00
_cell_angle_beta 90.00
_cell_angle_gamma 90.00
_space_group_name_H-M_alt 'P 1'
_space_group_IT_number 1
_space_group_name_Hall 'P 1'
loop_
_atom_site_label
_atom_site_fract_x
_atom_site_fract_y
_atom_site_fract_z
Sn1 0.1735 0.6735 0.5000
Na1 0.8525 0.6475 0.0000
B1 0.5000 0.5000 0.0000
Na2 0.3525 0.8525 0.0000
B2 0.0000 0.0000 0.0000
Na3 0.1475 0.3525 0.0000
Sn2 0.3265 0.1735 0.5000
Sn3 0.6735 0.8265 0.5000
Na4 0.6475 0.1475 0.0000
Sn4 0.8265 0.3265 0.5000
```

Summary:
ΔE_f	759	meV/atom
volume	23.28	Å³/atom
Fermi-level density of states	6.173	states/eV per cell
E above lowest polymorph	0.000	eV per atom

Entry from Alexandria: an optimized crystal structure of V2RhSe5 (GGA-PBE).

CIF file:
```
data_V2RhSe5
_chemical_formula_sum 'V2 Rh1 Se5'
_cell_length_a 4.5856
_cell_length_b 6.6180
_cell_length_c 6.8822
_cell_angle_alpha 83.37
_cell_angle_beta 70.54
_cell_angle_gamma 69.73
_space_group_name_H-M_alt 'P 1'
_space_group_IT_number 1
_space_group_name_Hall 'P 1'
loop_
_atom_site_label
_atom_site_fract_x
_atom_site_fract_y
_atom_site_fract_z
Se1 0.2156 0.7505 0.8183
Se2 0.7844 0.2495 0.1817
V1 0.1915 0.5000 0.1171
V2 0.8085 0.5000 0.8829
Se3 0.4661 0.2495 0.8183
Se4 0.5339 0.7505 0.1817
Se5 0.0000 0.5000 0.5000
Rh1 0.5000 0.5000 0.5000
```

Summary:
volume	23.09	Å³/atom
Fermi-level density of states	5.433	states/eV per cell
energy relative to the elements, uncorrected	-337.0	meV/atom

Entry from Alexandria: an optimized crystal structure of Cs2ScInTe4 (GGA-PBE).

CIF file:
```
data_Cs2ScInTe4
_chemical_formula_sum 'Cs4 Sc2 In2 Te8'
_cell_length_a 6.7801
_cell_length_b 8.6017
_cell_length_c 14.3034
_cell_angle_alpha 84.64
_cell_angle_beta 76.29
_cell_angle_gamma 66.79
_space_group_name_H-M_alt 'P 1'
_space_group_IT_number 1
_space_group_name_Hall 'P 1'
loop_
_atom_site_label
_atom_site_fract_x
_atom_site_fract_y
_atom_site_fract_z
Te1 0.9121 0.7945 0.8885
In1 0.5000 0.0000 0.0000
Sc1 0.0000 0.0000 0.0000
Te2 0.5952 0.2055 0.1115
Te3 0.1993 0.2055 0.8885
Te4 0.5507 0.2945 0.6115
Te5 0.4567 0.7055 0.3885
In2 0.2500 0.5000 0.5000
Cs1 0.5690 0.5000 0.8620
Te6 0.1548 0.2945 0.3885
Cs2 0.9310 0.5000 0.1380
Cs3 0.1810 0.0000 0.6380
Cs4 0.8190 0.0000 0.3620
Te7 0.8379 0.7055 0.6115
Sc2 0.7500 0.5000 0.5000
Te8 0.2933 0.7945 0.1115
```

Summary:
volume	46.55	Å³/atom
Fermi-level density of states	0.000	states/eV per cell
energy relative to the elements, uncorrected	-964.8	meV/atom

Entry from Alexandria: an optimized crystal structure of Rb3LaBr6 (GGA-PBE).

CIF file:
```
data_Rb3LaBr6
_chemical_formula_sum 'Rb6 La2 Br12'
_cell_length_a 8.2763
_cell_length_b 8.8188
_cell_length_c 11.7964
_cell_angle_alpha 90.00
_cell_angle_beta 88.20
_cell_angle_gamma 90.00
_space_group_name_H-M_alt 'P 1'
_space_group_IT_number 1
_space_group_name_Hall 'P 1'
loop_
_atom_site_label
_atom_site_fract_x
_atom_site_fract_y
_atom_site_fract_z
Br1 0.1680 0.2760 0.0794
Br2 0.3646 0.5602 0.7303
Rb1 0.5303 0.9243 0.7590
La1 0.0000 0.0000 0.0000
Br3 0.7143 0.1801 0.9420
Br4 0.6680 0.2240 0.5794
Br5 0.1354 0.0602 0.7697
La2 0.5000 0.5000 0.5000
Br6 0.7857 0.6801 0.5580
Br7 0.8646 0.9398 0.2303
Rb2 0.9697 0.4243 0.7410
Br8 0.6354 0.4398 0.2697
Br9 0.8320 0.7240 0.9206
Rb3 0.0303 0.5757 0.2590
Rb4 0.5000 0.5000 0.0000
Br10 0.3320 0.7760 0.4206
Br11 0.2143 0.3199 0.4420
Rb5 0.4697 0.0757 0.2410
Br12 0.2857 0.8199 0.0580
Rb6 0.0000 0.0000 0.5000
```

Summary:
volume	43.03	Å³/atom
Fermi-level density of states	0.000	states/eV per cell
E above lowest polymorph	0.000	eV per atom
energy relative to the elements, uncorrected	-1878.4	meV/atom

Entry from Alexandria: an optimized crystal structure of CePu2Zr3N6 (GGA-PBE).

CIF file:
```
data_CePu2Zr3N6
_chemical_formula_sum 'Ce1 Pu2 Zr3 N6'
_cell_length_a 5.8129
_cell_length_b 5.8129
_cell_length_c 5.9247
_cell_angle_alpha 99.45
_cell_angle_beta 99.45
_cell_angle_gamma 120.00
_space_group_name_H-M_alt 'P 1'
_space_group_IT_number 1
_space_group_name_Hall 'P 1'
loop_
_atom_site_label
_atom_site_fract_x
_atom_site_fract_y
_atom_site_fract_z
N1 0.2495 0.2495 0.7314
N2 0.7505 0.7505 0.2686
Pu1 0.3332 0.6668 0.0000
N3 0.5719 0.9098 0.7293
N4 0.4281 0.0902 0.2707
Pu2 0.6668 0.3332 0.0000
N5 0.0902 0.4281 0.2707
Zr1 0.5000 0.5000 0.5000
Ce1 0.0000 0.0000 0.0000
Zr2 0.1674 0.8326 0.5000
Zr3 0.8326 0.1674 0.5000
N6 0.9098 0.5719 0.7293
```

Summary:
volume	13.65	Å³/atom
Fermi-level density of states	13.700	states/eV per cell
energy relative to the elements, uncorrected	-1564.0	meV/atom

Entry from Alexandria: an optimized crystal structure of B2Pd6Au (GGA-PBE).

CIF file:
```
data_B2Pd6Au
_chemical_formula_sum 'B4 Pd12 Au2'
_cell_length_a 6.8888
_cell_length_b 6.8888
_cell_length_c 6.8888
_cell_angle_alpha 108.02
_cell_angle_beta 106.23
_cell_angle_gamma 114.28
_space_group_name_H-M_alt 'P 1'
_space_group_IT_number 1
_space_group_name_Hall 'P 1'
loop_
_atom_site_label
_atom_site_fract_x
_atom_site_fract_y
_atom_site_fract_z
B1 0.3554 0.0000 0.3554
Pd1 0.1291 0.3082 0.8209
B2 0.6446 0.0000 0.6446
Pd2 0.7774 0.2262 0.0036
Au1 0.0000 0.0000 0.0000
Pd3 0.3102 0.6336 0.3234
Pd4 0.4873 0.3082 0.1791
B3 0.5000 0.3831 0.8831
Pd5 0.6898 0.3664 0.6766
B4 0.5000 0.6169 0.1169
Pd6 0.3102 0.9868 0.6766
Pd7 0.5127 0.6918 0.8209
Pd8 0.2226 0.2262 0.4488
Pd9 0.6898 0.0132 0.3234
Pd10 0.8709 0.6918 0.1791
Au2 0.0000 0.5000 0.5000
Pd11 0.2226 0.7738 0.9964
Pd12 0.7774 0.7738 0.5512
```

Summary:
ΔE_f	-95	meV/atom
volume	13.90	Å³/atom
Fermi-level density of states	6.891	states/eV per cell
E above lowest polymorph	0.021	eV per atom

Entry from Alexandria: an optimized crystal structure of TiCoH (GGA-PBE).

CIF file:
```
data_TiCoH
_chemical_formula_sum 'Ti1 Co1 H1'
_cell_length_a 2.9578
_cell_length_b 2.9578
_cell_length_c 4.2117
_cell_angle_alpha 110.56
_cell_angle_beta 110.56
_cell_angle_gamma 90.00
_space_group_name_H-M_alt 'P 1'
_space_group_IT_number 1
_space_group_name_Hall 'P 1'
loop_
_atom_site_label
_atom_site_fract_x
_atom_site_fract_y
_atom_site_fract_z
Ti1 0.9088 0.9088 0.8176
H1 0.3578 0.3578 0.7155
Co1 0.5834 0.5834 0.1669
```

Summary:
volume	10.66	Å³/atom
Fermi-level density of states	0.291	states/eV per cell
E above lowest polymorph	0.273	eV per atom

Entry from Alexandria: an optimized crystal structure of LaTbPm2Y (GGA-PBE).

CIF file:
```
data_LaTbPm2Y
_chemical_formula_sum 'La2 Tb2 Pm4 Y2'
_cell_length_a 6.5883
_cell_length_b 8.5183
_cell_length_c 6.3165
_cell_angle_alpha 97.03
_cell_angle_beta 90.00
_cell_angle_gamma 90.00
_space_group_name_H-M_alt 'P 1'
_space_group_IT_number 1
_space_group_name_Hall 'P 1'
loop_
_atom_site_label
_atom_site_fract_x
_atom_site_fract_y
_atom_site_fract_z
La1 0.0000 0.0000 0.0000
Pm1 0.6865 0.6885 0.7900
Pm2 0.3135 0.6885 0.2900
Y1 0.1659 0.5000 0.7500
Pm3 0.3135 0.3115 0.2100
Tb1 0.4372 0.0000 0.7500
La2 0.0000 0.0000 0.5000
Pm4 0.6865 0.3115 0.7100
Y2 0.8341 0.5000 0.2500
Tb2 0.5628 0.0000 0.2500
```

Summary:
ΔE_f	267	meV/atom
volume	35.18	Å³/atom
Fermi-level density of states	14.234	states/eV per cell

Entry from Alexandria: an optimized crystal structure of EuSnN2 (GGA-PBE).

CIF file:
```
data_EuSnN2
_chemical_formula_sum 'Eu1 Sn1 N2'
_cell_length_a 3.8239
_cell_length_b 3.8239
_cell_length_c 6.6690
_cell_angle_alpha 73.34
_cell_angle_beta 73.34
_cell_angle_gamma 60.00
_space_group_name_H-M_alt 'P 1'
_space_group_IT_number 1
_space_group_name_Hall 'P 1'
loop_
_atom_site_label
_atom_site_fract_x
_atom_site_fract_y
_atom_site_fract_z
N1 0.1037 0.1037 0.6889
Eu1 0.5000 0.5000 0.5000
N2 0.8963 0.8963 0.3111
Sn1 0.0000 0.0000 0.0000
```

Summary:
volume	19.92	Å³/atom
Fermi-level density of states	4.051	states/eV per cell
energy relative to the elements, uncorrected	-20.5	meV/atom

Entry from Alexandria: an optimized crystal structure of LiY3Pt2 (GGA-PBE).

CIF file:
```
data_LiY3Pt2
_chemical_formula_sum 'Li2 Y6 Pt4'
_cell_length_a 4.9610
_cell_length_b 4.9610
_cell_length_c 12.3982
_cell_angle_alpha 90.00
_cell_angle_beta 90.00
_cell_angle_gamma 120.00
_space_group_name_H-M_alt 'P 1'
_space_group_IT_number 1
_space_group_name_Hall 'P 1'
loop_
_atom_site_label
_atom_site_fract_x
_atom_site_fract_y
_atom_site_fract_z
Li1 0.6667 0.3333 0.3295
Pt1 0.0000 0.0000 0.5000
Y1 0.6667 0.3333 0.5805
Y2 0.0000 0.0000 0.7576
Y3 0.3333 0.6667 0.9239
Li2 0.3333 0.6667 0.6705
Pt2 0.6667 0.3333 0.8098
Y4 0.3333 0.6667 0.4195
Y5 0.6667 0.3333 0.0761
Pt3 0.0000 0.0000 0.0000
Pt4 0.3333 0.6667 0.1902
Y6 0.0000 0.0000 0.2424
```

Summary:
ΔE_f	-874	meV/atom
volume	22.02	Å³/atom
Fermi-level density of states	8.365	states/eV per cell

Entry from Alexandria: an optimized crystal structure of Ac4RuBr5 (GGA-PBE).

CIF file:
```
data_Ac4RuBr5
_chemical_formula_sum 'Ac4 Ru1 Br5'
_cell_length_a 4.3191
_cell_length_b 9.3519
_cell_length_c 13.6564
_cell_angle_alpha 132.56
_cell_angle_beta 99.10
_cell_angle_gamma 90.00
_space_group_name_H-M_alt 'P 1'
_space_group_IT_number 1
_space_group_name_Hall 'P 1'
loop_
_atom_site_label
_atom_site_fract_x
_atom_site_fract_y
_atom_site_fract_z
Br1 0.1640 0.0780 0.3279
Br2 0.5000 0.5000 0.0000
Ac1 0.6509 0.3011 0.3018
Br3 0.1617 0.5717 0.3234
Br4 0.8360 0.9220 0.6721
Ac2 0.0011 0.7832 0.0021
Ac3 0.3491 0.6989 0.6982
Ac4 0.9989 0.2168 0.9979
Br5 0.8383 0.4283 0.6766
Ru1 0.5000 0.0000 0.0000
```

Summary:
volume	39.68	Å³/atom
Fermi-level density of states	4.465	states/eV per cell
E above lowest polymorph	0.009	eV per atom
energy relative to the elements, uncorrected	-1408.3	meV/atom

Entry from Alexandria: an optimized crystal structure of Hf3Zr2Al4 (GGA-PBE).

CIF file:
```
data_Hf3Zr2Al4
_chemical_formula_sum 'Hf6 Zr4 Al8'
_cell_length_a 5.8983
_cell_length_b 8.1466
_cell_length_c 8.2749
_cell_angle_alpha 90.00
_cell_angle_beta 110.88
_cell_angle_gamma 90.00
_space_group_name_H-M_alt 'P 1'
_space_group_IT_number 1
_space_group_name_Hall 'P 1'
loop_
_atom_site_label
_atom_site_fract_x
_atom_site_fract_y
_atom_site_fract_z
Hf1 0.4598 0.2500 0.4196
Hf2 0.0402 0.7500 0.5804
Zr1 0.3870 0.0891 0.7739
Al1 0.8231 0.0559 0.6462
Al2 0.2827 0.2500 0.0655
Zr2 0.6130 0.9109 0.2261
Zr3 0.8870 0.4109 0.7739
Hf3 0.9598 0.2500 0.4196
Al3 0.6769 0.5559 0.3538
Hf4 0.5402 0.7500 0.5804
Al4 0.3231 0.4441 0.6462
Al5 0.7173 0.7500 0.9345
Hf5 0.5000 0.5000 0.0000
Zr4 0.1130 0.5891 0.2261
Hf6 0.0000 0.0000 0.0000
Al6 0.1769 0.9441 0.3538
Al7 0.7827 0.2500 0.0655
Al8 0.2173 0.7500 0.9345
```

Summary:
ΔE_f	-86	meV/atom
volume	20.64	Å³/atom
Fermi-level density of states	14.435	states/eV per cell